BaNb3Au | PBE-GGA | optimized geometry

The structure in POSCAR format:
```
BaNb3Au
1.0
5.192 0.000 0.000
0.000 5.192 0.000
0.000 0.000 5.192
Ba Nb Au
1 3 1
direct
0.000 0.000 0.000 Ba
0.000 0.500 0.500 Nb
0.500 0.000 0.500 Nb
0.500 0.500 0.000 Nb
0.500 0.500 0.500 Au
```

Summary:
- Calculated volume: 139.97 Å³ per cell
- Energy relative to the lowest polymorph listed for this composition: 0 meV per atom